## A
This record from OQMD via LeMat-Bulk describes crystalline LuZnCoBi at its relaxed geometry. The functional is GGA-PBE.

Computed properties:
- SG = F-43m (216)

abc: 6.757 6.757 6.757
angles: 90.00 90.00 90.00
Fractional coordinates of all 16 atoms:
Lu (0.000, 0.000, 0.000)
Lu (0.000, 0.500, 0.500)
Lu (0.500, 0.000, 0.500)
Lu (0.500, 0.500, 0.000)
Zn (0.250, 0.250, 0.250)
Zn (0.250, 0.750, 0.750)
Zn (0.750, 0.250, 0.750)
Zn (0.750, 0.750, 0.250)
Co (0.250, 0.250, 0.750)
Co (0.250, 0.750, 0.250)
Co (0.750, 0.250, 0.250)
Co (0.750, 0.750, 0.750)
Bi (0.000, 0.000, 0.500)
Bi (0.000, 0.500, 0.000)
Bi (0.500, 0.000, 0.000)
Bi (0.500, 0.500, 0.500)

=====

## B
This record from OQMD via LeMat-Bulk describes crystalline LuZnCoBi at its relaxed geometry. The functional is GGA-PBE.

Computed properties:
- SG = F-43m (216)

abc: 6.790 6.790 6.790
angles: 90.00 90.00 90.00
Fractional coordinates of all 16 atoms:
Lu (0.000, 0.000, 0.000)
Lu (0.000, 0.500, 0.500)
Lu (0.500, 0.000, 0.500)
Lu (0.500, 0.500, 0.000)
Zn (0.250, 0.250, 0.750)
Zn (0.250, 0.750, 0.250)
Zn (0.750, 0.250, 0.250)
Zn (0.750, 0.750, 0.750)
Co (0.000, 0.000, 0.500)
Co (0.000, 0.500, 0.000)
Co (0.500, 0.000, 0.000)
Co (0.500, 0.500, 0.500)
Bi (0.250, 0.250, 0.250)
Bi (0.250, 0.750, 0.750)
Bi (0.750, 0.250, 0.750)
Bi (0.750, 0.750, 0.250)

=====

Most stable = A

=====

## A
This record from OQMD via LeMat-Bulk describes crystalline MgNbCoBi at its relaxed geometry. The functional is GGA-PBE.

Computed properties:
- SG = F-43m (216)

abc: 6.660 6.660 6.660
angles: 90.00 90.00 90.00
Fractional coordinates of all 16 atoms:
Mg (0.000, 0.000, 0.000)
Mg (0.000, 0.500, 0.500)
Mg (0.500, 0.000, 0.500)
Mg (0.500, 0.500, 0.000)
Nb (0.250, 0.250, 0.750)
Nb (0.250, 0.750, 0.250)
Nb (0.750, 0.250, 0.250)
Nb (0.750, 0.750, 0.750)
Co (0.000, 0.000, 0.500)
Co (0.000, 0.500, 0.000)
Co (0.500, 0.000, 0.000)
Co (0.500, 0.500, 0.500)
Bi (0.250, 0.250, 0.250)
Bi (0.250, 0.750, 0.750)
Bi (0.750, 0.250, 0.750)
Bi (0.750, 0.750, 0.250)

=====

## B
This record from OQMD via LeMat-Bulk describes crystalline MgNbCoBi at its relaxed geometry. The functional is GGA-PBE.

Computed properties:
- SG = F-43m (216)

abc: 6.657 6.657 6.657
angles: 90.00 90.00 90.00
Fractional coordinates of all 16 atoms:
Mg (0.000, 0.000, 0.000)
Mg (0.000, 0.500, 0.500)
Mg (0.500, 0.000, 0.500)
Mg (0.500, 0.500, 0.000)
Nb (0.250, 0.250, 0.250)
Nb (0.250, 0.750, 0.750)
Nb (0.750, 0.250, 0.750)
Nb (0.750, 0.750, 0.250)
Co (0.250, 0.250, 0.750)
Co (0.250, 0.750, 0.250)
Co (0.750, 0.250, 0.250)
Co (0.750, 0.750, 0.750)
Bi (0.000, 0.000, 0.500)
Bi (0.000, 0.500, 0.000)
Bi (0.500, 0.000, 0.000)
Bi (0.500, 0.500, 0.500)

=====

Most stable = B

=====

## A
This record from OQMD via LeMat-Bulk describes crystalline MgCoBiW at its relaxed geometry. The functional is GGA-PBE.

Computed properties:
- SG = F-43m (216)

abc: 6.581 6.581 6.581
angles: 90.00 90.00 90.00
Fractional coordinates of all 16 atoms:
Mg (0.000, 0.000, 0.000)
Mg (0.000, 0.500, 0.500)
Mg (0.500, 0.000, 0.500)
Mg (0.500, 0.500, 0.000)
Co (0.000, 0.000, 0.500)
Co (0.000, 0.500, 0.000)
Co (0.500, 0.000, 0.000)
Co (0.500, 0.500, 0.500)
Bi (0.250, 0.250, 0.250)
Bi (0.250, 0.750, 0.750)
Bi (0.750, 0.250, 0.750)
Bi (0.750, 0.750, 0.250)
W (0.250, 0.250, 0.750)
W (0.250, 0.750, 0.250)
W (0.750, 0.250, 0.250)
W (0.750, 0.750, 0.750)

=====

## B
This record from OQMD via LeMat-Bulk describes crystalline MgCoBiW at its relaxed geometry. The functional is GGA-PBE.

Computed properties:
- SG = F-43m (216)

abc: 6.526 6.526 6.526
angles: 90.00 90.00 90.00
Fractional coordinates of all 16 atoms:
Mg (0.000, 0.000, 0.000)
Mg (0.000, 0.500, 0.500)
Mg (0.500, 0.000, 0.500)
Mg (0.500, 0.500, 0.000)
Co (0.250, 0.250, 0.750)
Co (0.250, 0.750, 0.250)
Co (0.750, 0.250, 0.250)
Co (0.750, 0.750, 0.750)
Bi (0.000, 0.000, 0.500)
Bi (0.000, 0.500, 0.000)
Bi (0.500, 0.000, 0.000)
Bi (0.500, 0.500, 0.500)
W (0.250, 0.250, 0.250)
W (0.250, 0.750, 0.750)
W (0.750, 0.250, 0.750)
W (0.750, 0.750, 0.250)

=====

Most stable = B

=====

## A
This record from OQMD via LeMat-Bulk describes crystalline ZnCoBiMo at its relaxed geometry. The functional is GGA-PBE.

Computed properties:
- SG = F-43m (216)

abc: 6.402 6.402 6.402
angles: 90.00 90.00 90.00
Fractional coordinates of all 16 atoms:
Zn (0.000, 0.000, 0.000)
Zn (0.000, 0.500, 0.500)
Zn (0.500, 0.000, 0.500)
Zn (0.500, 0.500, 0.000)
Co (0.250, 0.250, 0.750)
Co (0.250, 0.750, 0.250)
Co (0.750, 0.250, 0.250)
Co (0.750, 0.750, 0.750)
Bi (0.000, 0.000, 0.500)
Bi (0.000, 0.500, 0.000)
Bi (0.500, 0.000, 0.000)
Bi (0.500, 0.500, 0.500)
Mo (0.250, 0.250, 0.250)
Mo (0.250, 0.750, 0.750)
Mo (0.750, 0.250, 0.750)
Mo (0.750, 0.750, 0.250)

=====

## B
This record from OQMD via LeMat-Bulk describes crystalline ZnCoBiMo at its relaxed geometry. The functional is GGA-PBE.

Computed properties:
- SG = F-43m (216)

abc: 6.491 6.491 6.491
angles: 90.00 90.00 90.00
Fractional coordinates of all 16 atoms:
Zn (0.000, 0.000, 0.000)
Zn (0.000, 0.500, 0.500)
Zn (0.500, 0.000, 0.500)
Zn (0.500, 0.500, 0.000)
Co (0.000, 0.000, 0.500)
Co (0.000, 0.500, 0.000)
Co (0.500, 0.000, 0.000)
Co (0.500, 0.500, 0.500)
Bi (0.250, 0.250, 0.250)
Bi (0.250, 0.750, 0.750)
Bi (0.750, 0.250, 0.750)
Bi (0.750, 0.750, 0.250)
Mo (0.250, 0.250, 0.750)
Mo (0.250, 0.750, 0.250)
Mo (0.750, 0.250, 0.250)
Mo (0.750, 0.750, 0.750)

=====

Most stable = A

=====

## A
This record from OQMD via LeMat-Bulk describes crystalline NbZnCoBi at its relaxed geometry. The functional is GGA-PBE.

Computed properties:
- SG = F-43m (216)

abc: 6.537 6.537 6.537
angles: 90.00 90.00 90.00
Fractional coordinates of all 16 atoms:
Nb (0.000, 0.000, 0.000)
Nb (0.000, 0.500, 0.500)
Nb (0.500, 0.000, 0.500)
Nb (0.500, 0.500, 0.000)
Zn (0.250, 0.250, 0.750)
Zn (0.250, 0.750, 0.250)
Zn (0.750, 0.250, 0.250)
Zn (0.750, 0.750, 0.750)
Co (0.000, 0.000, 0.500)
Co (0.000, 0.500, 0.000)
Co (0.500, 0.000, 0.000)
Co (0.500, 0.500, 0.500)
Bi (0.250, 0.250, 0.250)
Bi (0.250, 0.750, 0.750)
Bi (0.750, 0.250, 0.750)
Bi (0.750, 0.750, 0.250)

=====

## B
This record from OQMD via LeMat-Bulk describes crystalline NbZnCoBi at its relaxed geometry. The functional is GGA-PBE.

Computed properties:
- SG = F-43m (216)

abc: 6.546 6.546 6.546
angles: 90.00 90.00 90.00
Fractional coordinates of all 16 atoms:
Nb (0.000, 0.000, 0.000)
Nb (0.000, 0.500, 0.500)
Nb (0.500, 0.000, 0.500)
Nb (0.500, 0.500, 0.000)
Zn (0.250, 0.250, 0.250)
Zn (0.250, 0.750, 0.750)
Zn (0.750, 0.250, 0.750)
Zn (0.750, 0.750, 0.250)
Co (0.250, 0.250, 0.750)
Co (0.250, 0.750, 0.250)
Co (0.750, 0.250, 0.250)
Co (0.750, 0.750, 0.750)
Bi (0.000, 0.000, 0.500)
Bi (0.000, 0.500, 0.000)
Bi (0.500, 0.000, 0.000)
Bi (0.500, 0.500, 0.500)

=====

Most stable = B

=====

## A
This record from OQMD via LeMat-Bulk describes crystalline ScCoNiBi at its relaxed geometry. The functional is GGA-PBE.

Computed properties:
- SG = F-43m (216)

abc: 6.351 6.351 6.351
angles: 90.00 90.00 90.00
Fractional coordinates of all 16 atoms:
Sc (0.000, 0.000, 0.000)
Sc (0.000, 0.500, 0.500)
Sc (0.500, 0.000, 0.500)
Sc (0.500, 0.500, 0.000)
Co (0.250, 0.250, 0.750)
Co (0.250, 0.750, 0.250)
Co (0.750, 0.250, 0.250)
Co (0.750, 0.750, 0.750)
Ni (0.250, 0.250, 0.250)
Ni (0.250, 0.750, 0.750)
Ni (0.750, 0.250, 0.750)
Ni (0.750, 0.750, 0.250)
Bi (0.000, 0.000, 0.500)
Bi (0.000, 0.500, 0.000)
Bi (0.500, 0.000, 0.000)
Bi (0.500, 0.500, 0.500)

=====

## B
This record from OQMD via LeMat-Bulk describes crystalline ScCoNiBi at its relaxed geometry. The functional is GGA-PBE.

Computed properties:
- SG = F-43m (216)

abc: 6.410 6.410 6.410
angles: 90.00 90.00 90.00
Fractional coordinates of all 16 atoms:
Sc (0.000, 0.000, 0.000)
Sc (0.000, 0.500, 0.500)
Sc (0.500, 0.000, 0.500)
Sc (0.500, 0.500, 0.000)
Co (0.000, 0.000, 0.500)
Co (0.000, 0.500, 0.000)
Co (0.500, 0.000, 0.000)
Co (0.500, 0.500, 0.500)
Ni (0.250, 0.250, 0.750)
Ni (0.250, 0.750, 0.250)
Ni (0.750, 0.250, 0.250)
Ni (0.750, 0.750, 0.750)
Bi (0.250, 0.250, 0.250)
Bi (0.250, 0.750, 0.750)
Bi (0.750, 0.250, 0.750)
Bi (0.750, 0.750, 0.250)

=====

Most stable = A

=====

## A
This record from OQMD via LeMat-Bulk describes crystalline ZrCoNiBi at its relaxed geometry. The functional is GGA-PBE.

Computed properties:
- SG = F-43m (216)

abc: 6.496 6.496 6.496
angles: 90.00 90.00 90.00
Fractional coordinates of all 16 atoms:
Zr (0.000, 0.000, 0.000)
Zr (0.000, 0.500, 0.500)
Zr (0.500, 0.000, 0.500)
Zr (0.500, 0.500, 0.000)
Co (0.000, 0.000, 0.500)
Co (0.000, 0.500, 0.000)
Co (0.500, 0.000, 0.000)
Co (0.500, 0.500, 0.500)
Ni (0.250, 0.250, 0.750)
Ni (0.250, 0.750, 0.250)
Ni (0.750, 0.250, 0.250)
Ni (0.750, 0.750, 0.750)
Bi (0.250, 0.250, 0.250)
Bi (0.250, 0.750, 0.750)
Bi (0.750, 0.250, 0.750)
Bi (0.750, 0.750, 0.250)

=====

## B
This record from OQMD via LeMat-Bulk describes crystalline ZrCoNiBi at its relaxed geometry. The functional is GGA-PBE.

Computed properties:
- SG = F-43m (216)

abc: 6.418 6.418 6.418
angles: 90.00 90.00 90.00
Fractional coordinates of all 16 atoms:
Zr (0.000, 0.000, 0.000)
Zr (0.000, 0.500, 0.500)
Zr (0.500, 0.000, 0.500)
Zr (0.500, 0.500, 0.000)
Co (0.250, 0.250, 0.750)
Co (0.250, 0.750, 0.250)
Co (0.750, 0.250, 0.250)
Co (0.750, 0.750, 0.750)
Ni (0.250, 0.250, 0.250)
Ni (0.250, 0.750, 0.750)
Ni (0.750, 0.250, 0.750)
Ni (0.750, 0.750, 0.250)
Bi (0.000, 0.000, 0.500)
Bi (0.000, 0.500, 0.000)
Bi (0.500, 0.000, 0.000)
Bi (0.500, 0.500, 0.500)

=====

Most stable = B